No. 1
The following is a DFT calculation (PBE) of a relaxed structure of MgRe2Mo.

Results
Formation enthalpy at 0 K (eV/atom): 0.414

a = 5.043 Å, b = 5.043 Å, c = 2.722 Å
α = 90.00°, β = 90.00°, γ = 114.75°
Sites, in units of the cell vectors:
Mg 0.000 0.000 0.000
Re 0.000 0.500 0.500
Re 0.500 0.000 0.500
Mo 0.500 0.500 0.000

No. 2
The following is a DFT calculation (PBE) of a relaxed structure of TbPr3Nd6Sm2.

Results
Formation enthalpy at 0 K (eV/atom): 0.014

a = 6.366 Å, b = 6.366 Å, c = 12.172 Å
α = 95.03°, β = 95.03°, γ = 120.01°
Sites, in units of the cell vectors:
Tb 0.000 0.000 0.000
Pr 0.167 0.833 0.500
Pr 0.500 0.500 0.500
Pr 0.833 0.167 0.500
Nd 0.082 0.415 0.247
Nd 0.250 0.250 0.753
Nd 0.415 0.082 0.247
Nd 0.585 0.918 0.753
Nd 0.750 0.750 0.247
Nd 0.918 0.585 0.753
Sm 0.333 0.667 0.000
Sm 0.667 0.333 0.000

| no. | spin magnetization (μB per formula unit) |
| --- | --- |
| 1 | 0.00 |
| 2 | 0.00 |